A relaxed structure of NaTl4Sn3. Source: Alexandria via LeMat-Bulk, functional PBE.

The crystal system is orthorhombic. As for the calculated formation energy: -40 meV/atom.

The space group is Pmmn (No. 59, origin choice 2) and the conventional cell measures 4.4148, 10.1950 and 10.2931 Å, with angles of 90.00, 90.00 and 90.00 degrees. The distinct sites, in fractional coordinates, are Na at (0.2500, 0.2500, 0.1234), Tl at (0.2500, 0.2500, 0.6350), Tl at (0.2500, 0.5025, 0.3661), Tl at (0.2500, 0.7500, 0.6368), Sn at (0.2500, 0.0030, 0.8901) and Sn at (0.2500, 0.7500, 0.1151).

***

A relaxed structure of La3ZnP2N6. Source: Alexandria via LeMat-Bulk, functional PBE.

The crystal system is trigonal. The value obtained for the total energy is -87.61 eV for the cell shown.

The space group is P-3m1 (No. 164) and the conventional cell measures 5.6286, 5.6286 and 6.3718 Å, with angles of 90.00, 90.00 and 120.00 degrees. The distinct sites, in fractional coordinates, are La at (0.0000, 0.0000, 0.0000), La at (0.3333, 0.6667, 0.6512), Zn at (0.0000, 0.0000, 0.5000), P at (0.3333, 0.6667, 0.1938) and N at (0.1758, 0.3515, 0.2917).

***

A relaxed structure of ZnHgRu2. Source: Alexandria via LeMat-Bulk, functional PBE.

The energy above the most stable polymorph in this dataset is 0.340 eV per atom. The crystal system is cubic. As for the calculated formation energy: 482 meV/atom.

The space group is Fm-3m (No. 225) and the conventional cell measures 6.3208, 6.3208 and 6.3208 Å, with angles of 90.00, 90.00 and 90.00 degrees. The distinct sites, in fractional coordinates, are Zn at (0.0000, 0.0000, 0.0000), Hg at (0.0000, 0.0000, 0.5000) and Ru at (0.2500, 0.2500, 0.2500).